# 1
# CeZnCu

A relaxed CeZnCu crystal (PBE, the Alexandria database).

The structure in extended XYZ format:
```
6
Lattice="2.329 1.345 6.111 -2.329 1.345 6.111 0.000 -2.689 6.111" Properties=species:S:1:pos:R:3 pbc="T T T"
Ce 0.000 0.000 2.360
Ce 0.000 0.000 15.974
Zn 0.000 0.000 5.430
Zn 0.000 0.000 12.904
Cu 0.000 0.000 7.861
Cu 0.000 0.000 10.473
```

Space-group type: R-3m

***

# 2
# Ce3Zn3Cu2

A relaxed Ce3Zn3Cu2 crystal (PBE, the Alexandria database).

The structure in extended XYZ format:
```
16
Lattice="2.291 -4.954 0.000 2.291 4.954 0.000 0.000 0.000 14.328" Properties=species:S:1:pos:R:3 pbc="T T T"
Ce 2.291 4.015 8.743
Ce 2.291 4.015 12.749
Ce 2.291 2.017 10.746
Ce 2.291 -2.017 3.582
Ce 2.291 -4.015 1.579
Ce 2.291 -4.015 5.585
Zn 2.291 1.102 7.802
Zn 2.291 1.102 13.689
Zn 2.291 1.080 3.582
Zn 2.291 -1.080 10.746
Zn 2.291 -1.102 0.638
Zn 2.291 -1.102 6.525
Cu 2.291 2.870 1.434
Cu 2.291 2.870 5.729
Cu 2.291 -2.870 8.598
Cu 2.291 -2.870 12.893
```

Space-group type: Cmcm

***

# 3
# Ce3ZnCu3

A relaxed Ce3ZnCu3 crystal (PBE, the Alexandria database).

The structure in extended XYZ format:
```
14
Lattice="2.153 -5.144 0.000 2.153 5.144 0.000 0.000 0.000 13.285" Properties=species:S:1:pos:R:3 pbc="T T T"
Ce 2.153 5.113 9.964
Ce 2.153 2.197 8.022
Ce 2.153 2.197 11.906
Ce 2.153 -2.197 1.380
Ce 2.153 -2.197 5.263
Ce 2.153 -5.113 3.321
Zn 0.000 0.000 0.000
Zn 0.000 0.000 6.643
Cu 2.153 2.134 3.321
Cu 2.153 0.749 1.189
Cu 2.153 0.749 5.454
Cu 2.153 -0.749 7.832
Cu 2.153 -0.749 12.097
Cu 2.153 -2.134 9.964
```

Space-group type: Cmcm

***

# 4
# Ce2Zn5Cu

A relaxed Ce2Zn5Cu crystal (PBE, the Alexandria database).

The structure in extended XYZ format:
```
16
Lattice="2.165 -8.067 0.000 2.165 8.067 0.000 0.000 0.000 8.917" Properties=species:S:1:pos:R:3 pbc="T T T"
Ce 0.000 0.000 0.000
Ce 0.000 0.000 4.459
Ce 2.165 4.840 6.688
Ce 2.165 -4.840 2.229
Zn 2.165 5.040 0.958
Zn 2.165 5.040 3.501
Zn 2.165 2.416 0.209
Zn 2.165 2.416 4.250
Zn 2.165 1.553 6.688
Zn 2.165 -1.553 2.229
Zn 2.165 -2.416 4.668
Zn 2.165 -2.416 8.708
Zn 2.165 -5.040 5.417
Zn 2.165 -5.040 7.959
Cu 2.165 0.926 2.229
Cu 2.165 -0.926 6.688
```

Space-group type: Cmcm

***

# 5
# CeZnCu

A relaxed CeZnCu crystal (PBE, the Alexandria database).

The structure in extended XYZ format:
```
3
Lattice="4.536 0.000 0.000 -2.268 3.928 0.000 0.000 0.000 3.276" Properties=species:S:1:pos:R:3 pbc="T T T"
Ce 0.000 0.000 0.000
Zn 0.000 2.619 1.639
Cu 2.268 1.309 1.634
```

Space-group type: P3m1

***

# 6
# CeZnCu

A relaxed CeZnCu crystal (PBE, the Alexandria database).

The structure in extended XYZ format:
```
6
Lattice="3.068 0.000 0.000 0.000 3.068 0.000 0.000 0.000 11.572" Properties=species:S:1:pos:R:3 pbc="T T T"
Ce 0.000 0.000 0.000
Ce 1.534 1.534 5.786
Zn 0.000 0.000 3.471
Zn 1.534 1.534 9.257
Cu 0.000 0.000 7.922
Cu 1.534 1.534 2.136
```

Space-group type: I4mm

***

# 7
# Ce2Zn15Cu2

A relaxed Ce2Zn15Cu2 crystal (PBE, the Alexandria database).

The structure in extended XYZ format:
```
19
Lattice="4.489 2.592 4.410 -4.489 2.592 4.410 0.000 -5.183 4.410" Properties=species:S:1:pos:R:3 pbc="T T T"
Ce 0.000 0.000 2.144
Ce 0.000 0.000 11.085
Zn -2.245 -1.296 4.410
Zn 0.000 -2.623 4.215
Zn -2.271 1.311 4.215
Zn -1.291 -2.236 6.614
Zn -2.582 0.000 6.614
Zn -2.271 -1.311 9.014
Zn -2.245 1.296 8.819
Zn 1.291 -2.236 6.614
Zn 0.000 2.592 4.410
Zn -1.291 2.236 6.614
Zn 2.271 1.311 4.215
Zn 2.582 0.000 6.614
Zn 1.291 2.236 6.614
Zn 2.271 -1.311 9.014
Zn 0.000 2.623 9.014
Cu 0.000 0.000 5.273
Cu 0.000 0.000 7.956
```

Space-group type: R-3m

***

# 8
# Ce3Zn2Cu3

A relaxed Ce3Zn2Cu3 crystal (PBE, the Alexandria database).

The structure in extended XYZ format:
```
16
Lattice="2.259 -5.041 0.000 2.259 5.041 0.000 0.000 0.000 13.957" Properties=species:S:1:pos:R:3 pbc="T T T"
Ce 2.259 4.153 8.532
Ce 2.259 4.153 12.403
Ce 2.259 2.025 10.467
Ce 2.259 -2.025 3.489
Ce 2.259 -4.153 1.553
Ce 2.259 -4.153 5.425
Zn 2.259 2.881 1.309
Zn 2.259 2.881 5.669
Zn 2.259 -2.881 8.287
Zn 2.259 -2.881 12.648
Cu 2.259 1.149 3.489
Cu 2.259 1.073 7.633
Cu 2.259 1.073 13.302
Cu 2.259 -1.073 0.655
Cu 2.259 -1.073 6.323
Cu 2.259 -1.149 10.467
```

Space-group type: Cmcm

***

no.,uncorrected energy (eV per atom)
1,-3.882
2,-3.929
3,-4.589
4,-3.020
5,-3.987
6,-3.898
7,-2.268
8,-4.236